A plane-wave DFT calculation with PBE-GGA was carried out for a geometry-optimized RbMnS2 structure.

Summary:
- formation energy from raw total energies (eV/atom) = -0.83
- V (Å³/cell) = 412.09
- space group = P2_1/c, No. 14

Cell lengths 8.024, 8.111, 6.492 Å; angles 90.00, 102.76, 90.00 degrees
Fractional coordinates of all 16 atoms:
Rb 0.175 0.098 0.276
Rb 0.175 0.402 0.776
Rb 0.825 0.598 0.224
Rb 0.825 0.902 0.724
Mn 0.372 0.666 0.382
Mn 0.372 0.834 0.882
Mn 0.628 0.166 0.118
Mn 0.628 0.334 0.618
S 0.180 0.721 0.063
S 0.180 0.779 0.563
S 0.450 0.106 0.786
S 0.450 0.394 0.286
S 0.550 0.606 0.714
S 0.550 0.894 0.214
S 0.820 0.221 0.437
S 0.820 0.279 0.937

A plane-wave DFT calculation with PBE-GGA was carried out for a geometry-optimized HgTeI4 structure.

Summary:
- formation energy from raw total energies (eV/atom) = -0.15
- V (Å³/cell) = 283.81
- space group = I-4, No. 82

Cell lengths 7.192, 7.192, 7.192 Å; angles 106.42, 106.42, 115.76 degrees
Fractional coordinates of all 6 atoms:
Hg 0.000 0.000 0.000
Te 0.750 0.250 0.500
I 0.060 0.411 0.968
I 0.443 0.091 0.032
I 0.589 0.557 0.649
I 0.909 0.940 0.351

A plane-wave DFT calculation with PBE-GGA was carried out for a geometry-optimized MnH5 structure.

Summary:
- total DFT energy (no corrections) (eV/cell) = -24.429
- V (Å³/cell) = 30.57
- space group = Cmmm, No. 65

Cell lengths 4.671, 4.671, 2.608 Å; angles 90.00, 90.00, 147.50 degrees
Fractional coordinates of all 6 atoms:
Mn 0.000 0.000 0.000
H 0.125 0.875 0.500
H 0.376 0.624 0.000
H 0.500 0.500 0.500
H 0.624 0.376 0.000
H 0.875 0.125 0.500

A plane-wave DFT calculation with PBE-GGA was carried out for a geometry-optimized ReHg2Sb structure.

Summary:
- formation energy from raw total energies (eV/atom) = 1.03
- V (Å³/cell) = 83.76
- space group = P4/mmm, No. 123

Cell lengths 5.224, 5.224, 3.069 Å; angles 90.00, 90.00, 90.00 degrees
Fractional coordinates of all 4 atoms:
Re 0.000 0.000 0.000
Hg 0.000 0.500 0.500
Hg 0.500 0.000 0.500
Sb 0.500 0.500 0.000